Record 1
A relaxed structure of GeI2, computed with GGA-PBE.

a = 4.2903 Å, b = 4.2903 Å, c = 7.9823 Å
α = 105.73°, β = 105.73°, γ = 60.04°
Positions (direct):
1 Ge 0.0000 0.0000 0.0000
2 I 0.2558 0.2558 0.7692
3 I 0.7442 0.7442 0.2308

energy relative to the elements, uncorrected	-0.325	eV/atom
DFT total energy	-2.8976	eV/atom

Record 2
A relaxed structure of GeI, computed with GGA-PBE.

a = 3.5968 Å, b = 4.0937 Å, c = 4.4390 Å
α = 90.00°, β = 90.00°, γ = 90.00°
Positions (direct):
1 Ge 0.0000 0.0000 0.0000
2 I 0.0000 0.5000 0.5000

energy relative to the elements, uncorrected	0.290	eV/atom
DFT total energy	-2.7933	eV/atom

Record 3
A relaxed structure of GeI, computed with GGA-PBE.

a = 4.2930 Å, b = 4.2930 Å, c = 9.5574 Å
α = 102.61°, β = 102.61°, γ = 59.99°
Positions (direct):
1 Ge 0.1788 0.1788 0.0374
2 Ge 0.8212 0.8212 0.9626
3 I 0.2518 0.2852 0.3146
4 I 0.7148 0.7482 0.6854

energy relative to the elements, uncorrected	-0.140	eV/atom
DFT total energy	-3.2241	eV/atom

Record 4
A relaxed structure of GeI, computed with GGA-PBE.

a = 4.1677 Å, b = 3.6537 Å, c = 8.9741 Å
α = 90.00°, β = 90.77°, γ = 90.00°
Positions (direct):
1 Ge 0.2487 0.2500 0.4513
2 Ge 0.7513 0.7500 0.5487
3 I 0.2417 0.7500 0.2048
4 I 0.7583 0.2500 0.7952

energy relative to the elements, uncorrected	0.032	eV/atom
DFT total energy	-3.0518	eV/atom

Record 5
A relaxed structure of GeI, computed with GGA-PBE.

a = 8.0843 Å, b = 8.0843 Å, c = 8.0843 Å
α = 109.47°, β = 109.47°, γ = 109.47°
Positions (direct):
1 Ge 0.0000 0.0000 0.7844
2 Ge 0.0000 0.7844 0.0000
3 Ge 0.2156 0.2156 0.2156
4 Ge 0.7844 0.0000 0.0000
5 I 0.0000 0.0000 0.4055
6 I 0.0000 0.4055 0.0000
7 I 0.4055 0.0000 0.0000
8 I 0.5945 0.5945 0.5945

energy relative to the elements, uncorrected	0.230	eV/atom
DFT total energy	-2.8537	eV/atom

Record 6
A relaxed structure of GeI2, computed with GGA-PBE.

a = 4.2931 Å, b = 4.2931 Å, c = 7.5419 Å
α = 90.23°, β = 90.23°, γ = 59.99°
Positions (direct):
1 Ge 0.0000 0.0000 0.0000
2 I 0.3333 0.3333 0.7681
3 I 0.6689 0.6689 0.2320

energy relative to the elements, uncorrected	-0.325	eV/atom
DFT total energy	-2.8975	eV/atom

Record 7
A relaxed structure of GeI, computed with GGA-PBE.

a = 10.8037 Å, b = 10.6843 Å, c = 5.6056 Å
α = 76.06°, β = 73.70°, γ = 30.24°
Positions (direct):
1 Ge 0.0165 0.0165 0.2335
2 Ge 0.2335 0.2335 0.0165
3 Ge 0.7665 0.7665 0.9835
4 Ge 0.9835 0.9835 0.7665
5 I 0.1258 0.6242 0.6242
6 I 0.3758 0.8742 0.8742
7 I 0.6242 0.1258 0.1258
8 I 0.8742 0.3758 0.3758

energy relative to the elements, uncorrected	0.243	eV/atom
DFT total energy	-2.8409	eV/atom

Record 8
A relaxed structure of GeI4, computed with GGA-PBE.

a = 5.7927 Å, b = 5.7927 Å, c = 5.7927 Å
α = 90.00°, β = 90.00°, γ = 90.00°
Positions (direct):
1 Ge 0.0000 0.0000 0.0000
2 I 0.0000 0.0000 0.5000
3 I 0.0000 0.5000 0.0000
4 I 0.5000 0.0000 0.0000
5 I 0.5000 0.5000 0.5000

energy relative to the elements, uncorrected	0.142	eV/atom
DFT total energy	-2.0212	eV/atom

Record 9
A relaxed structure of Ge6I, computed with GGA-PBE.

a = 6.1386 Å, b = 6.1386 Å, c = 6.1386 Å
α = 109.47°, β = 109.47°, γ = 109.47°
Positions (direct):
1 Ge 0.2500 0.5000 0.7500
2 Ge 0.2500 0.7500 0.5000
3 Ge 0.5000 0.2500 0.7500
4 Ge 0.5000 0.7500 0.2500
5 Ge 0.7500 0.2500 0.5000
6 Ge 0.7500 0.5000 0.2500
7 I 0.0000 0.0000 0.0000

energy relative to the elements, uncorrected	0.114	eV/atom
DFT total energy	-4.0649	eV/atom

Record 10
A relaxed structure of GeI3, computed with GGA-PBE.

a = 7.5127 Å, b = 7.5127 Å, c = 7.5127 Å
α = 108.98°, β = 108.98°, γ = 110.47°
Positions (direct):
1 Ge 0.0000 0.0000 0.0000
2 Ge 0.7500 0.2500 0.5000
3 I 0.0527 0.6250 0.9277
4 I 0.2500 0.7500 0.5000
5 I 0.3750 0.3027 0.4277
6 I 0.5000 0.5000 0.0000
7 I 0.6973 0.1250 0.0723
8 I 0.8750 0.9473 0.5723

energy relative to the elements, uncorrected	0.098	eV/atom
DFT total energy	-2.2188	eV/atom

Record 11
A relaxed structure of GeI, computed with GGA-PBE.

a = 8.7194 Å, b = 8.7194 Å, c = 8.7194 Å
α = 90.00°, β = 90.00°, γ = 90.00°
Positions (direct):
1 Ge 0.0000 0.2500 0.5000
2 Ge 0.0000 0.7500 0.5000
3 Ge 0.2500 0.5000 0.0000
4 Ge 0.5000 0.0000 0.2500
5 Ge 0.5000 0.0000 0.7500
6 Ge 0.7500 0.5000 0.0000
7 I 0.0000 0.5000 0.2500
8 I 0.0000 0.5000 0.7500
9 I 0.2500 0.0000 0.5000
10 I 0.5000 0.2500 0.0000
11 I 0.5000 0.7500 0.0000
12 I 0.7500 0.0000 0.5000

energy relative to the elements, uncorrected	0.616	eV/atom
DFT total energy	-2.4682	eV/atom

Record 12
A relaxed structure of GeI, computed with GGA-PBE.

a = 3.2348 Å, b = 3.7480 Å, c = 6.0780 Å
α = 104.03°, β = 92.23°, γ = 115.25°
Positions (direct):
1 Ge 0.0000 0.0000 0.0000
2 I 0.8452 0.7542 0.5379

energy relative to the elements, uncorrected	0.418	eV/atom
DFT total energy	-2.6661	eV/atom

Record 13
A relaxed structure of GeI, computed with GGA-PBE.

a = 4.4424 Å, b = 4.4424 Å, c = 4.4424 Å
α = 60.00°, β = 60.00°, γ = 60.00°
Positions (direct):
1 Ge 0.0000 0.0000 0.0000
2 I 0.5000 0.5000 0.5000

energy relative to the elements, uncorrected	0.387	eV/atom
DFT total energy	-2.6964	eV/atom

Record 14
A relaxed structure of GeI, computed with GGA-PBE.

a = 6.2049 Å, b = 6.2049 Å, c = 6.2049 Å
α = 139.03°, β = 77.89°, γ = 117.05°
Positions (direct):
1 Ge 0.0000 0.0000 0.0000
2 Ge 0.7672 0.2672 0.5000
3 I 0.2610 0.9525 0.3086
4 I 0.6439 0.9525 0.6914

energy relative to the elements, uncorrected	0.003	eV/atom
DFT total energy	-3.0807	eV/atom

Record 15
A relaxed structure of GeI, computed with GGA-PBE.

a = 3.6672 Å, b = 4.3186 Å, c = 4.3521 Å
α = 90.00°, β = 114.70°, γ = 90.00°
Positions (direct):
1 Ge 0.0000 0.0000 0.0000
2 I 0.2360 0.5000 0.4752

energy relative to the elements, uncorrected	0.290	eV/atom
DFT total energy	-2.7934	eV/atom

Record 16
A relaxed structure of GeI2, computed with GGA-PBE.

a = 4.1623 Å, b = 4.1623 Å, c = 8.5130 Å
α = 90.00°, β = 90.00°, γ = 120.00°
Positions (direct):
1 Ge 0.0000 0.0000 0.0000
2 I 0.3333 0.6667 0.2257
3 I 0.3333 0.6667 0.7743

energy relative to the elements, uncorrected	-0.207	eV/atom
DFT total energy	-2.7793	eV/atom

Record 17
A relaxed structure of GeI3, computed with GGA-PBE.

a = 8.6040 Å, b = 8.6040 Å, c = 8.9067 Å
α = 90.00°, β = 90.00°, γ = 58.28°
Positions (direct):
1 Ge 0.1585 0.1585 0.2504
2 Ge 0.8415 0.8415 0.7496
3 I 0.2024 0.5979 0.7503
4 I 0.3290 0.3290 0.2498
5 I 0.4021 0.7976 0.2497
6 I 0.5979 0.2024 0.7503
7 I 0.6710 0.6710 0.7502
8 I 0.7976 0.4021 0.2497

energy relative to the elements, uncorrected	-0.049	eV/atom
DFT total energy	-2.3656	eV/atom

Record 18
A relaxed structure of GeI, computed with GGA-PBE.

a = 3.9078 Å, b = 3.9078 Å, c = 4.9877 Å
α = 113.28°, β = 113.28°, γ = 60.02°
Positions (direct):
1 Ge 0.0000 0.0000 0.0000
2 I 0.5000 0.5000 0.5000

energy relative to the elements, uncorrected	0.302	eV/atom
DFT total energy	-2.7813	eV/atom

Record 19
A relaxed structure of GeI, computed with GGA-PBE.

a = 12.4284 Å, b = 12.4284 Å, c = 4.3626 Å
α = 90.00°, β = 90.00°, γ = 90.00°
Positions (direct):
1 Ge 0.1987 0.2760 0.0000
2 Ge 0.2263 0.7010 0.5000
3 Ge 0.2760 0.8013 0.0000
4 Ge 0.2990 0.2263 0.5000
5 Ge 0.7010 0.7737 0.5000
6 Ge 0.7240 0.1987 0.0000
7 Ge 0.7737 0.2990 0.5000
8 Ge 0.8013 0.7240 0.0000
9 I 0.0147 0.7307 0.5000
10 I 0.2267 0.4878 0.0000
11 I 0.2693 0.0147 0.5000
12 I 0.4878 0.7733 0.0000
13 I 0.5122 0.2267 0.0000
14 I 0.7307 0.9853 0.5000
15 I 0.7733 0.5122 0.0000
16 I 0.9853 0.2693 0.5000

energy relative to the elements, uncorrected	0.025	eV/atom
DFT total energy	-3.0585	eV/atom

Record 20
A relaxed structure of GeI, computed with GGA-PBE.

a = 9.7545 Å, b = 9.7545 Å, c = 5.7772 Å
α = 90.00°, β = 90.00°, γ = 120.00°
Positions (direct):
1 Ge 0.0302 0.8409 0.2500
2 Ge 0.1591 0.1892 0.2500
3 Ge 0.1892 0.0302 0.7500
4 Ge 0.8108 0.9698 0.2500
5 Ge 0.8409 0.8108 0.7500
6 Ge 0.9698 0.1591 0.7500
7 I 0.0591 0.6801 0.7500
8 I 0.3199 0.3790 0.7500
9 I 0.3790 0.0591 0.2500
10 I 0.6210 0.9409 0.7500
11 I 0.6801 0.6210 0.2500
12 I 0.9409 0.3199 0.2500

energy relative to the elements, uncorrected	0.149	eV/atom
DFT total energy	-2.9343	eV/atom

Record 21
A relaxed structure of GeI, computed with GGA-PBE.

a = 5.3080 Å, b = 5.3080 Å, c = 6.2910 Å
α = 90.00°, β = 90.00°, γ = 120.00°
Positions (direct):
1 Ge 0.3333 0.6667 0.2500
2 Ge 0.6667 0.3333 0.7500
3 I 0.3333 0.6667 0.7500
4 I 0.6667 0.3333 0.2500

energy relative to the elements, uncorrected	0.513	eV/atom
DFT total energy	-2.5703	eV/atom

Record 22
A relaxed structure of GeI, computed with GGA-PBE.

a = 4.9613 Å, b = 4.9613 Å, c = 4.9613 Å
α = 60.00°, β = 60.00°, γ = 60.00°
Positions (direct):
1 Ge 0.0000 0.0000 0.0000
2 I 0.7500 0.7500 0.7500

energy relative to the elements, uncorrected	0.567	eV/atom
DFT total energy	-2.5164	eV/atom

Record 23
A relaxed structure of GeI, computed with GGA-PBE.

a = 4.3719 Å, b = 5.7141 Å, c = 7.4776 Å
α = 90.93°, β = 105.93°, γ = 111.77°
Positions (direct):
1 Ge 0.1718 0.3736 0.4641
2 Ge 0.8282 0.6264 0.5359
3 I 0.2208 0.1660 0.7826
4 I 0.7792 0.8340 0.2174

energy relative to the elements, uncorrected	-0.027	eV/atom
DFT total energy	-3.1109	eV/atom

Record 24
A relaxed structure of GeI, computed with GGA-PBE.

a = 8.7165 Å, b = 8.7165 Å, c = 8.7165 Å
α = 95.60°, β = 95.60°, γ = 143.60°
Positions (direct):
1 Ge 0.0788 0.5849 0.6637
2 Ge 0.4151 0.0788 0.4939
3 Ge 0.5849 0.9212 0.5061
4 Ge 0.9212 0.4151 0.3363
5 I 0.2457 0.4215 0.6671
6 I 0.4215 0.7543 0.1758
7 I 0.5785 0.2457 0.8242
8 I 0.7543 0.5785 0.3329

energy relative to the elements, uncorrected	0.085	eV/atom
DFT total energy	-2.9985	eV/atom